Computed, not measured: crystalline V2BiO at its relaxed geometry at the GGA+U level of DFT. Values from VASP.

Quantum ESPRESSO input file:
```
&SYSTEM
  ibrav = 0, nat = 8, ntyp = 3
/
ATOMIC_SPECIES
V 50.94 V.upf
Bi 208.98 Bi.upf
O 16.00 O.upf
CELL_PARAMETERS angstrom
-3.2835 3.2835 3.4109
3.2835 -3.2835 3.4109
3.2835 3.2835 -3.4109
ATOMIC_POSITIONS crystal
V 0.0027 0.1250 0.3777
V 0.3750 0.9973 0.1223
V 0.7473 0.6250 0.6223
V 0.8750 0.2527 0.8777
Bi 0.2500 0.7500 0.5000
Bi 0.5000 0.5000 0.0000
O 0.0000 0.0000 0.0000
O 0.7500 0.2500 0.5000
```

Results
**Distance to the lowest polymorph of the same formula**: 0 meV/atom
**DOS at the Fermi energy**: 2.469 states/eV/cell
**Space-group type**: I-42d